# 1
A relaxed structure of TcPdRuF2, computed with GGA-PBE.

Results
magnetization = 1.65 μB/f.u.
D(E_F) = 4.80 states/eV/cell
E_tot = -5.626 eV/atom
formation energy without anion corrections = 43 kJ/mol of formula units

Cell: 3.9392 3.9392 4.9957 Å, 90.00 90.00 90.00°
Closest atoms and distances in Å follow each position.
Space group P4/mmm (No. 123)
One atom of each set of equivalent atoms:
Tc1 0.0000 0.0000 0.0000 (multiplicity 1)  2 Ru 2.50, 4 Pd 2.79
Pd1 0.5000 0.5000 0.0000 (multiplicity 1)  4 Tc 2.79
Ru1 0.0000 0.0000 0.5000 (multiplicity 1)  4 F 1.97
F1 0.0000 0.5000 0.5000 (multiplicity 2)  2 Ru 1.97



# 2
A relaxed structure of Dy4B3AsRh12, computed with GGA-PBE.

Results
ΔE_f = -1383 kJ/mol of formula units
magnetization = 0.00 μB/f.u.
D(E_F) = 29.87 states/eV/cell
E_tot = -7.282 eV/atom

Cell: 8.5920 8.5920 8.5920 Å, 90.00 90.00 90.00°
Closest atoms and distances in Å follow each position.
Space group Im-3m (No. 229)
One atom of each set of equivalent atoms:
Dy1 0.2500 0.2500 0.2500 (multiplicity 8)  12 Rh 3.04
B1 0.0000 0.0000 0.5000 (multiplicity 6)  6 Rh 2.00-2.15
As1 0.0000 0.0000 0.0000 (multiplicity 2)  6 Rh 2.30
Rh1 0.0000 0.0000 0.2673 (multiplicity 12)  1 B 2.00
Rh2 0.0000 0.2500 0.5000 (multiplicity 12)  2 B 2.15